1.
Compound: CeBeC
Source: the Alexandria database
Functional: PBE
Structure: optimized geometry

Lattice parameters (Å, degrees): 5.438 5.438 5.605 90.00 90.00 90.00
Atoms (fractional coordinates):
C: 0.904 0.904 0.500
Be: 0.835 0.165 0.750
Be: 0.165 0.835 0.250
Ce: 0.765 0.235 0.250
C: 0.096 0.096 0.000
C: 0.596 0.404 0.750
Be: 0.335 0.335 0.000
Ce: 0.235 0.765 0.750
Be: 0.665 0.665 0.500
C: 0.404 0.596 0.250
Ce: 0.265 0.265 0.500
Ce: 0.735 0.735 0.000

Calculated values
Total energy, eV per atom: -6.00
Formation energy from the elements, eV/atom: 0.291
Total moment, μB per cell: 2.41
Symmetry: No. 92

2.
Compound: TlAs2AuS4
Source: the Alexandria database
Functional: PBE
Structure: optimized geometry

Lattice parameters (Å, degrees): 6.602 7.014 7.014 48.29 61.93 61.93
Atoms (fractional coordinates):
S: 0.829 0.606 0.086
As: 0.779 0.721 0.721
S: 0.171 0.914 0.394
Au: 0.500 0.500 0.500
Tl: 0.000 0.000 0.000
As: 0.221 0.279 0.279
S: 0.521 0.394 0.914
S: 0.479 0.086 0.606

Calculated values
Total energy, eV per atom: -3.95
Formation energy (no corrections), eV/atom: -0.0213
Total moment, μB per cell: 0.00
Symmetry: No. 23

3.
Compound: Dy6Ga2Ir
Source: the Alexandria database
Functional: PBE
Structure: optimized geometry

Lattice parameters (Å, degrees): 5.971 8.394 9.614 90.00 86.20 90.00
Atoms (fractional coordinates):
Dy: 0.388 0.819 0.056
Dy: 0.390 0.531 0.734
Dy: 0.612 0.181 0.944
Ga: 0.579 0.875 0.746
Dy: 0.396 0.828 0.440
Ir: 0.500 0.500 0.000
Ga: 0.921 0.375 0.754
Dy: 0.896 0.672 0.940
Ir: 0.000 0.000 0.500
Dy: 0.610 0.469 0.266
Ga: 0.421 0.125 0.254
Ga: 0.079 0.625 0.246
Dy: 0.104 0.328 0.060
Dy: 0.110 0.031 0.766
Dy: 0.890 0.969 0.234
Dy: 0.888 0.681 0.556
Dy: 0.604 0.172 0.560
Dy: 0.112 0.319 0.444

Calculated values
Total energy, eV per atom: -5.16
Formation energy from the elements, eV/atom: -0.432
Total moment, μB per cell: 0.00
Symmetry: No. 14

4.
Compound: Ta2P
Source: the Alexandria database
Functional: PBE
Structure: optimized geometry

Lattice parameters (Å, degrees): 3.291 4.960 6.552 70.79 89.81 89.95
Atoms (fractional coordinates):
Ta: 0.749 0.294 0.935
P: 0.750 0.886 0.282
Ta: 0.251 0.706 0.065
Ta: 0.249 0.692 0.588
P: 0.250 0.114 0.718
Ta: 0.751 0.308 0.412

Calculated values
Total energy, eV per atom: -10.30
Formation energy from the elements, eV/atom: -0.590
Total moment, μB per cell: 0.00
Symmetry: No. 2

5.
Compound: Pa2B6Ir9
Source: the Alexandria database
Functional: PBE
Structure: optimized geometry

Lattice parameters (Å, degrees): 5.531 5.531 9.060 90.00 90.00 120.00
Atoms (fractional coordinates):
Ir: 0.500 0.500 0.160
Ir: 0.500 0.000 0.840
Ir: 0.500 0.500 0.500
Pa: 0.000 0.000 0.308
Ir: 0.000 0.500 0.840
B: 0.667 0.333 0.669
Ir: 0.500 0.000 0.500
B: 0.333 0.667 0.669
B: 0.333 0.667 0.000
B: 0.667 0.333 0.331
Ir: 0.000 0.500 0.160
B: 0.333 0.667 0.331
Ir: 0.500 0.500 0.840
B: 0.667 0.333 0.000
Pa: 0.000 0.000 0.692
Ir: 0.500 0.000 0.160
Ir: 0.000 0.500 0.500

Calculated values
Total energy, eV per atom: -8.69
Formation energy from the elements, eV/atom: -0.521
Total moment, μB per cell: 0.66
Symmetry: No. 191

6.
Compound: CdSbIr2
Source: the Alexandria database
Functional: PBE
Structure: optimized geometry

Lattice parameters (Å, degrees): 7.350 7.350 5.947 51.84 51.84 90.00
Atoms (fractional coordinates):
Cd: 0.500 0.500 0.000
Cd: 0.250 0.750 0.500
Ir: 0.375 0.344 0.750
Ir: 0.094 0.625 0.250
Ir: 0.875 0.906 0.750
Ir: 0.656 0.125 0.250
Sb: 0.750 0.250 0.500
Sb: 0.000 0.000 0.000

Calculated values
Total energy, eV per atom: -5.23
Formation energy (no corrections), eV/atom: 0.4560
Total moment, μB per cell: 0.00
Symmetry: No. 122

7.
Compound: RbUMnSe4
Source: the Alexandria database
Functional: PBE
Structure: optimized geometry

Lattice parameters (Å, degrees): 6.749 6.667 9.593 90.00 108.98 90.00
Atoms (fractional coordinates):
U: 0.232 0.250 0.551
Se: 0.561 0.250 0.821
Mn: 0.229 0.750 0.337
Se: 0.026 0.513 0.700
U: 0.768 0.750 0.449
Se: 0.439 0.750 0.179
Se: 0.026 0.987 0.700
Mn: 0.771 0.250 0.663
Se: 0.974 0.487 0.300
Rb: 0.748 0.750 0.946
Se: 0.452 0.750 0.586
Rb: 0.252 0.250 0.054
Se: 0.974 0.013 0.300
Se: 0.548 0.250 0.414

Calculated values
Total energy, eV per atom: -6.01
Formation energy (no corrections), eV/atom: -0.9585
Total moment, μB per cell: 12.00
Symmetry: No. 11

8.
Compound: Sc4GaPtO
Source: the Alexandria database
Functional: PBE
Structure: optimized geometry

Lattice parameters (Å, degrees): 6.086 6.067 7.610 90.00 113.57 90.00
Atoms (fractional coordinates):
Sc: 0.500 0.000 0.500
Pt: 0.618 0.750 0.237
Sc: 0.567 0.250 0.135
Sc: 0.000 0.500 0.500
O: 0.247 0.750 0.493
Pt: 0.382 0.250 0.763
Sc: 0.921 0.250 0.842
O: 0.753 0.250 0.507
Sc: 0.079 0.750 0.158
Ga: 0.882 0.750 0.765
Sc: 0.500 0.500 0.500
Sc: 0.000 0.000 0.500
Ga: 0.118 0.250 0.235
Sc: 0.433 0.750 0.865

Calculated values
Total energy, eV per atom: -7.00
Formation energy (no corrections), eV/atom: -1.3819
Total moment, μB per cell: 0.00
Symmetry: No. 63

9.
Compound: SrReF3
Source: the Alexandria database
Functional: PBE
Structure: optimized geometry

Lattice parameters (Å, degrees): 4.756 4.756 4.756 90.00 90.00 90.00
Atoms (fractional coordinates):
Sr: 0.000 0.000 0.000
Re: 0.500 0.500 0.500
F: 0.000 0.500 0.000
F: 0.000 0.000 0.500
F: 0.500 0.000 0.000

Calculated values
Total energy, eV per atom: -5.37
Formation energy (no corrections), eV/atom: -1.4184
Total moment, μB per cell: 6.00
Symmetry: No. 221

10.
Compound: K6SnF12
Source: the Alexandria database
Functional: PBE
Structure: optimized geometry

Lattice parameters (Å, degrees): 7.377 7.377 7.377 98.94 98.94 98.94
Atoms (fractional coordinates):
F: 0.535 0.854 0.419
K: 0.279 0.609 0.158
F: 0.465 0.146 0.581
F: 0.015 0.944 0.728
K: 0.609 0.158 0.279
K: 0.721 0.391 0.842
F: 0.728 0.015 0.944
K: 0.158 0.279 0.609
F: 0.581 0.465 0.146
F: 0.944 0.728 0.015
K: 0.391 0.842 0.721
K: 0.842 0.721 0.391
F: 0.419 0.535 0.854
F: 0.985 0.056 0.272
F: 0.854 0.419 0.535
F: 0.272 0.985 0.056
F: 0.056 0.272 0.985
F: 0.146 0.581 0.465
Sn: 0.000 0.000 0.000

Calculated values
Total energy, eV per atom: -4.20
Formation energy (no corrections), eV/atom: -2.4613
Total moment, μB per cell: 2.00
Symmetry: No. 148

11.
Compound: ScIN2F
Source: the Alexandria database
Functional: PBE
Structure: optimized geometry

Lattice parameters (Å, degrees): 4.280 4.280 4.155 90.00 90.00 90.00
Atoms (fractional coordinates):
N: 0.500 0.000 0.000
N: 0.000 0.500 0.000
Sc: 0.500 0.500 0.500
I: 0.000 0.000 0.500
F: 0.000 0.000 0.000

Calculated values
Total energy, eV per atom: -3.96
Formation energy (no corrections), eV/atom: 1.3188
Total moment, μB per cell: 0.89
Symmetry: No. 123

12.
Compound: Na3TaCu
Source: the Alexandria database
Functional: PBE
Structure: optimized geometry

Lattice parameters (Å, degrees): 5.937 5.937 5.937 90.00 90.00 90.00
Atoms (fractional coordinates):
Na: 0.000 0.000 0.500
Na: 0.500 0.000 0.000
Ta: 0.000 0.000 0.000
Cu: 0.500 0.500 0.500
Na: 0.000 0.500 0.000

Calculated values
Total energy, eV per atom: -2.23
Formation energy from the elements, eV/atom: 1.755
Total moment, μB per cell: 5.00
Symmetry: No. 221

13.
Compound: Pm5YTh
Source: the Alexandria database
Functional: PBE
Structure: optimized geometry

Lattice parameters (Å, degrees): 6.599 6.585 12.818 94.98 90.00 120.07
Atoms (fractional coordinates):
Pm: 0.763 0.535 0.819
Pm: 0.228 0.465 0.681
Pm: 0.772 0.535 0.319
Th: 0.000 0.000 0.000
Pm: 0.237 0.465 0.181
Pm: 0.663 0.331 0.554
Y: 0.256 0.000 0.750
Pm: 0.736 0.000 0.750
Th: 0.000 0.000 0.500
Pm: 0.337 0.669 0.446
Pm: 0.264 0.000 0.250
Y: 0.744 0.000 0.250
Pm: 0.332 0.669 0.946
Pm: 0.668 0.331 0.054

Calculated values
Total energy, eV per atom: -5.17
Formation energy from the elements, eV/atom: 0.203
Total moment, μB per cell: 0.00
Symmetry: No. 15

14.
Compound: ReSb2Te4
Source: the Alexandria database
Functional: PBE
Structure: optimized geometry

Lattice parameters (Å, degrees): 5.098 5.098 8.936 73.43 73.43 90.00
Atoms (fractional coordinates):
Sb: 0.642 0.642 0.716
Sb: 0.358 0.358 0.284
Te: 0.000 0.500 0.000
Te: 0.831 0.831 0.338
Re: 0.000 0.000 0.000
Te: 0.500 0.000 0.000
Te: 0.169 0.169 0.662

Calculated values
Total energy, eV per atom: -4.23
Formation energy (no corrections), eV/atom: 0.5230
Total moment, μB per cell: 0.00
Symmetry: No. 139

15.
Compound: CsSr2CaGa
Source: the Alexandria database
Functional: PBE
Structure: optimized geometry

Lattice parameters (Å, degrees): 6.468 6.468 6.130 90.00 90.00 90.00
Atoms (fractional coordinates):
Cs: 0.500 0.500 0.500
Sr: 0.000 0.500 0.000
Sr: 0.500 0.000 0.000
Ca: 0.000 0.000 0.500
Ga: 0.000 0.000 0.000

Calculated values
Total energy, eV per atom: -1.88
Formation energy from the elements, eV/atom: -0.035
Total moment, μB per cell: 0.00
Symmetry: No. 123

16.
Compound: CrIr2OsRu4
Source: the Alexandria database
Functional: PBE
Structure: optimized geometry

Lattice parameters (Å, degrees): 7.298 7.298 5.287 111.34 111.34 86.30
Atoms (fractional coordinates):
Cr: 0.000 0.000 0.000
Os: 0.000 0.500 0.500
Ru: 0.721 0.276 0.499
Ru: 0.279 0.724 0.501
Ru: 0.237 0.262 0.499
Ir: 0.500 0.000 0.000
Ir: 0.500 0.500 0.000
Ru: 0.224 0.779 0.001
Ir: 0.500 0.000 0.500
Ru: 0.763 0.738 0.501
Ir: 0.000 0.000 0.500
Ru: 0.762 0.737 0.999
Cr: 0.500 0.500 0.500
Os: 0.000 0.500 0.000
Ru: 0.238 0.263 0.001
Ru: 0.776 0.221 0.999

Calculated values
Total energy, eV per atom: -8.72
Formation energy from the elements, eV/atom: 0.740
Total moment, μB per cell: 0.00
Symmetry: No. 15

17.
Compound: La6ErTl2
Source: the Alexandria database
Functional: PBE
Structure: optimized geometry

Lattice parameters (Å, degrees): 3.884 6.961 12.272 73.59 80.90 73.80
Atoms (fractional coordinates):
La: 0.024 0.294 0.657
La: 0.325 0.474 0.876
Tl: 0.637 0.910 0.816
La: 0.976 0.706 0.343
La: 0.695 0.208 0.402
Tl: 0.363 0.090 0.184
La: 0.305 0.792 0.598
Er: 0.000 0.000 0.000
La: 0.675 0.526 0.124

Calculated values
Total energy, eV per atom: -4.49
Formation energy from the elements, eV/atom: -0.172
Total moment, μB per cell: 0.00
Symmetry: No. 12

18.
Compound: PaTl2GaS5
Source: the Alexandria database
Functional: PBE
Structure: optimized geometry

Lattice parameters (Å, degrees): 4.018 9.344 14.087 90.00 90.00 102.42
Atoms (fractional coordinates):
S: 0.945 0.891 0.520
S: 0.307 0.613 0.399
Tl: 0.120 0.240 0.332
Ga: 0.435 0.870 0.423
S: 0.295 0.589 0.650
Pa: 0.793 0.585 0.530
Tl: 0.106 0.212 0.672
Pa: 0.207 0.415 0.030
Tl: 0.880 0.760 0.832
S: 0.342 0.685 0.009
S: 0.055 0.109 0.020
S: 0.503 0.006 0.790
S: 0.658 0.315 0.509
S: 0.705 0.411 0.150
Tl: 0.894 0.788 0.172
S: 0.693 0.387 0.899
S: 0.497 0.994 0.290
Ga: 0.565 0.130 0.923

Calculated values
Total energy, eV per atom: -5.13
Formation energy (no corrections), eV/atom: -0.9180
Total moment, μB per cell: 0.00
Symmetry: No. 36

19.
Compound: NdSmEuTh
Source: the Alexandria database
Functional: PBE
Structure: optimized geometry

Lattice parameters (Å, degrees): 5.829 5.829 5.829 60.00 60.00 60.00
Atoms (fractional coordinates):
Eu: 0.000 0.000 0.000
Th: 0.500 0.500 0.500
Nd: 0.250 0.250 0.250
Sm: 0.750 0.750 0.750

Calculated values
Total energy, eV per atom: -6.57
Formation energy from the elements, eV/atom: 0.226
Total moment, μB per cell: 6.48
Symmetry: No. 216

20.
Compound: Tc2HgPb
Source: the Alexandria database
Functional: PBE
Structure: optimized geometry

Lattice parameters (Å, degrees): 3.032 3.032 9.249 90.00 90.00 116.04
Atoms (fractional coordinates):
Hg: 0.500 0.500 0.250
Pb: 0.500 0.500 0.750
Tc: 0.000 0.000 0.503
Tc: 0.000 0.000 0.997

Calculated values
Total energy, eV per atom: -5.27
Formation energy from the elements, eV/atom: 0.919
Total moment, μB per cell: 1.87
Symmetry: No. 65